Record 1
# InFeHg2, optimized geometry, DFT PBE-GGA
# energy of formation	1.69	eV/f.u.
data_InFeHg2
_chemical_formula_sum 'In2 Fe2 Hg4'
_space_group_name_H-M_alt 'I 4/m m m'
_space_group_IT_number 139
_space_group_name_Hall '-I 4 2'
_cell_length_a 4.2221
_cell_length_b 4.2221
_cell_length_c 9.2464
_cell_angle_alpha 90.00
_cell_angle_beta 90.00
_cell_angle_gamma 90.00
loop_
_atom_site_label
_atom_site_fract_x
_atom_site_fract_y
_atom_site_fract_z
_atom_site_occupancy
In1 0.0000 0.0000 0.0000 1
Fe1 0.0000 0.0000 0.5000 1
Hg1 0.0000 0.5000 0.2500 1

=====

Record 2
# InFe3Hg, optimized geometry, DFT PBE-GGA
# energy of formation	6.90	eV/f.u.
# energy relative to the lowest polymorph listed for this composition	0.000	eV per atom
data_InFe3Hg
_chemical_formula_sum 'In1 Fe3 Hg1'
_space_group_name_H-M_alt 'P m -3 m'
_space_group_IT_number 221
_space_group_name_Hall '-P 4 2 3'
_cell_length_a 4.8579
_cell_length_b 4.8579
_cell_length_c 4.8579
_cell_angle_alpha 90.00
_cell_angle_beta 90.00
_cell_angle_gamma 90.00
loop_
_atom_site_label
_atom_site_fract_x
_atom_site_fract_y
_atom_site_fract_z
_atom_site_occupancy
In1 0.0000 0.0000 0.0000 1
Fe1 0.0000 0.5000 0.5000 1
Hg1 0.5000 0.5000 0.5000 1

=====

Record 3
# InFeHg2, optimized geometry, DFT PBE-GGA
# energy of formation	1.80	eV/f.u.
data_InFeHg2
_chemical_formula_sum 'In4 Fe4 Hg8'
_space_group_name_H-M_alt 'I -4 2 d'
_space_group_IT_number 122
_space_group_name_Hall 'I -4 2bw'
_cell_length_a 4.2085
_cell_length_b 4.2085
_cell_length_c 20.3256
_cell_angle_alpha 90.00
_cell_angle_beta 90.00
_cell_angle_gamma 90.00
loop_
_atom_site_label
_atom_site_fract_x
_atom_site_fract_y
_atom_site_fract_z
_atom_site_occupancy
In1 0.0000 0.0000 0.0000 1
Fe1 0.0000 0.0000 0.5000 1
Hg1 0.2345 0.2500 0.6250 1

=====

Record 4
# InFeHg4, optimized geometry, DFT PBE-GGA
# energy of formation	3.32	eV/f.u.
data_InFeHg4
_chemical_formula_sum 'In4 Fe4 Hg16'
_space_group_name_H-M_alt 'F -4 3 m'
_space_group_IT_number 216
_space_group_name_Hall 'F -4 2 3'
_cell_length_a 8.4240
_cell_length_b 8.4240
_cell_length_c 8.4240
_cell_angle_alpha 90.00
_cell_angle_beta 90.00
_cell_angle_gamma 90.00
loop_
_atom_site_label
_atom_site_fract_x
_atom_site_fract_y
_atom_site_fract_z
_atom_site_occupancy
In1 0.0000 0.0000 0.0000 1
Fe1 0.2500 0.2500 0.7500 1
Hg1 0.1246 0.1246 0.3754 1

=====

Record 5
# InFeHg2, optimized geometry, DFT PBE-GGA
# energy of formation	1.69	eV/f.u.
data_InFeHg2
_chemical_formula_sum 'In2 Fe2 Hg4'
_space_group_name_H-M_alt 'I -4 m 2'
_space_group_IT_number 119
_space_group_name_Hall 'I -4 -2'
_cell_length_a 4.2108
_cell_length_b 4.2108
_cell_length_c 9.2747
_cell_angle_alpha 90.00
_cell_angle_beta 90.00
_cell_angle_gamma 90.00
loop_
_atom_site_label
_atom_site_fract_x
_atom_site_fract_y
_atom_site_fract_z
_atom_site_occupancy
In1 0.0000 0.0000 0.0000 1
Fe1 0.0000 0.5000 0.7500 1
Hg1 0.0000 0.0000 0.5000 1
Hg2 0.0000 0.5000 0.2500 1

=====

Record 6
# InFeHg2, optimized geometry, DFT PBE-GGA
# energy of formation	1.18	eV/f.u.
data_InFeHg2
_chemical_formula_sum 'In1 Fe1 Hg2'
_space_group_name_H-M_alt 'P 1 m 1'
_space_group_IT_number 6
_cell_length_a 4.4667
_cell_length_b 2.9363
_cell_length_c 7.3097
_cell_angle_alpha 90.00
_cell_angle_beta 107.25
_cell_angle_gamma 90.00
loop_
_space_group_symop_operation_xyz
'x,y,z'
'x,-y,z'
loop_
_atom_site_label
_atom_site_fract_x
_atom_site_fract_y
_atom_site_fract_z
_atom_site_occupancy
In1 0.0000 0.0000 0.0000 1
Fe1 0.4807 0.5000 0.9600 1
Hg1 0.3107 0.0000 0.6244 1
Hg2 0.6791 0.5000 0.3509 1

=====

Record 7
# InFeHg3, optimized geometry, DFT PBE-GGA
# energy of formation	1.91	eV/f.u.
data_InFeHg3
_chemical_formula_sum 'In1 Fe1 Hg3'
_space_group_name_H-M_alt 'P m -3 m'
_space_group_IT_number 221
_space_group_name_Hall '-P 4 2 3'
_cell_length_a 5.1512
_cell_length_b 5.1512
_cell_length_c 5.1512
_cell_angle_alpha 90.00
_cell_angle_beta 90.00
_cell_angle_gamma 90.00
loop_
_atom_site_label
_atom_site_fract_x
_atom_site_fract_y
_atom_site_fract_z
_atom_site_occupancy
In1 0.0000 0.0000 0.0000 1
Fe1 0.5000 0.5000 0.5000 1
Hg1 0.0000 0.5000 0.5000 1

=====

Record 8
# InFeHg2, optimized geometry, DFT PBE-GGA
# energy of formation	1.21	eV/f.u.
data_InFeHg2
_chemical_formula_sum 'In1 Fe1 Hg2'
_space_group_name_H-M_alt 'P 4 m m'
_space_group_IT_number 99
_cell_length_a 3.0643
_cell_length_b 3.0643
_cell_length_c 8.9365
_cell_angle_alpha 90.00
_cell_angle_beta 90.00
_cell_angle_gamma 90.00
loop_
_space_group_symop_operation_xyz
'x,y,z'
'-y,x,z'
'-x,-y,z'
'y,-x,z'
'-x,y,z'
'y,x,z'
'x,-y,z'
'-y,-x,z'
loop_
_atom_site_label
_atom_site_fract_x
_atom_site_fract_y
_atom_site_fract_z
_atom_site_occupancy
In1 0.0000 0.0000 0.0000 1
Fe1 0.5000 0.5000 0.2056 1
Hg1 0.0000 0.0000 0.4107 1
Hg2 0.5000 0.5000 0.7035 1

=====

no.,calculated total energy (eV/atom)
1,-2.529
2,-4.305
3,-2.501
4,-1.514
5,-2.528
6,-2.657
7,-2.040
8,-2.649